Crystalline Li2Ni3PdO6 at its relaxed geometry. Source: Alexandria, functional PBE+U.

Properties
VASP energy = -60.29 eV for the cell shown
space group = C2/m

Cell: 5.1584 5.1584 5.1858 Å, 99.82 99.82 119.64°
Atoms (fractional coordinates):
Li: 0.1657 0.8343 0.0000
Li: 0.8343 0.1657 0.0000
Ni: 0.0000 0.0000 0.5000
Ni: 0.3340 0.6660 0.5000
Ni: 0.6660 0.3340 0.5000
Pd: 0.5000 0.5000 0.0000
O: 0.0987 0.4170 0.7416
O: 0.2654 0.2654 0.2490
O: 0.4170 0.0987 0.7416
O: 0.5830 0.9013 0.2584
O: 0.7346 0.7346 0.7510
O: 0.9013 0.5830 0.2584